! MgBeMo PBE relaxed; values from VASP
! excess energy over the best structure of this formula in the dataset: 0.000 eV/atom
! DFT total energy: -12.28 eV per cell
&SYSTEM
  ibrav = 0, nat = 3, ntyp = 3
/
ATOMIC_SPECIES
Be 9.01 Be.upf
Mg 24.30 Mg.upf
Mo 95.94 Mo.upf
CELL_PARAMETERS angstrom
1.414 -3.405 -2.011
0.018 -3.727 1.937
-2.686 -3.000 -1.194
ATOMIC_POSITIONS crystal
Be 0.250 0.250 0.250
Mg 0.750 0.750 0.750
Mo 0.000 0.000 0.000


! MgBeMoOs PBE relaxed; values from VASP
! excess energy over the best structure of this formula in the dataset: 0.000 eV/atom
! DFT total energy: -27.29 eV per cell
&SYSTEM
  ibrav = 0, nat = 4, ntyp = 4
/
ATOMIC_SPECIES
Mo 95.94 Mo.upf
Be 9.01 Be.upf
Mg 24.30 Mg.upf
Os 190.23 Os.upf
CELL_PARAMETERS angstrom
2.984 -2.630 1.573
1.308 0.428 4.049
-1.065 -2.944 2.914
ATOMIC_POSITIONS crystal
Mo 0.250 0.250 0.250
Be 0.750 0.750 0.750
Mg 0.000 0.000 0.000
Os 0.500 0.500 0.500


! MgBeNb2 PBE relaxed; values from VASP
! DFT total energy: -23.49 eV per cell
&SYSTEM
  ibrav = 0, nat = 4, ntyp = 3
/
ATOMIC_SPECIES
Mg 24.30 Mg.upf
Nb 92.91 Nb.upf
Be 9.01 Be.upf
CELL_PARAMETERS angstrom
1.713 -2.930 3.022
-2.788 -2.445 2.627
-0.423 -4.474 -0.681
ATOMIC_POSITIONS crystal
Mg 0.250 0.250 0.250
Nb 0.000 0.000 0.000
Nb 0.750 0.750 0.750
Be 0.500 0.500 0.500


! Mg2BeNb PBE relaxed; values from VASP
! DFT total energy: -15.17 eV per cell
&SYSTEM
  ibrav = 0, nat = 4, ntyp = 3
/
ATOMIC_SPECIES
Nb 92.91 Nb.upf
Mg 24.30 Mg.upf
Be 9.01 Be.upf
CELL_PARAMETERS angstrom
0.000 3.215 3.215
3.215 0.000 3.215
3.215 3.215 0.000
ATOMIC_POSITIONS crystal
Nb 0.250 0.250 0.250
Mg 0.750 0.750 0.750
Mg 0.000 0.000 0.000
Be 0.500 0.500 0.500


! MgBeNb PBE relaxed; values from VASP
! excess energy over the best structure of this formula in the dataset: 0.013 eV/atom
! DFT total energy: -11.79 eV per cell
&SYSTEM
  ibrav = 0, nat = 3, ntyp = 3
/
ATOMIC_SPECIES
Be 9.01 Be.upf
Mg 24.30 Mg.upf
Nb 92.91 Nb.upf
CELL_PARAMETERS angstrom
0.000 2.987 2.987
2.987 0.000 2.987
2.987 2.987 0.000
ATOMIC_POSITIONS crystal
Be 0.250 0.250 0.250
Mg 0.000 0.000 0.000
Nb 0.750 0.750 0.750


! MgBeNb PBE relaxed; values from VASP
! excess energy over the best structure of this formula in the dataset: 0.000 eV/atom
! DFT total energy: -11.83 eV per cell
&SYSTEM
  ibrav = 0, nat = 3, ntyp = 3
/
ATOMIC_SPECIES
Mg 24.30 Mg.upf
Nb 92.91 Nb.upf
Be 9.01 Be.upf
CELL_PARAMETERS angstrom
1.634 -2.334 3.246
-2.612 -2.408 2.456
0.129 -4.307 -0.289
ATOMIC_POSITIONS crystal
Mg 0.000 0.000 0.000
Nb 0.250 0.250 0.250
Be 0.500 0.500 0.500


> Number 5 is which compound?

MgBeNb


Please write out number 1 again, unchanged.
! MgBeMo PBE relaxed; values from VASP
! excess energy over the best structure of this formula in the dataset: 0.000 eV/atom
! DFT total energy: -12.28 eV per cell
&SYSTEM
  ibrav = 0, nat = 3, ntyp = 3
/
ATOMIC_SPECIES
Be 9.01 Be.upf
Mg 24.30 Mg.upf
Mo 95.94 Mo.upf
CELL_PARAMETERS angstrom
1.414 -3.405 -2.011
0.018 -3.727 1.937
-2.686 -3.000 -1.194
ATOMIC_POSITIONS crystal
Be 0.250 0.250 0.250
Mg 0.750 0.750 0.750
Mo 0.000 0.000 0.000